# 1
Computed, not measured: a geometry-optimized La2Pm2Mg structure at the PBE-GGA level of DFT.

Unit cell a=12.0770 b=12.0770 c=12.0770 alpha=162.06 beta=162.06 gamma=25.48
With the nearest neighbours (Å) after each atom.
Atoms (fractional coordinates):
La 0.1938 0.1938 0.0000  4 Pm 3.67, 8 La 3.76-3.77
La 0.8062 0.8062 0.0000  4 Pm 3.67, 8 La 3.76-3.77
Pm 0.4136 0.4136 0.0000  4 Mg 3.35, 4 La 3.67
Pm 0.5864 0.5864 0.0000  4 Mg 3.35, 4 La 3.67
Mg 0.0000 0.0000 0.0000  8 Pm 3.35

energy above the lowest structure with this stoichiometry: 0 meV/atom
total moment: 0.0 μB/cell

# 2
Computed, not measured: a geometry-optimized LaPm4Mg structure at the PBE-GGA level of DFT.

Unit cell a=3.6913 b=3.6913 c=14.6045 alpha=90.00 beta=90.00 gamma=90.00
With the nearest neighbours (Å) after each atom.
Atoms (fractional coordinates):
La 0.0000 0.0000 0.0000  4 La 3.69, 8 Pm 3.71
Pm 0.0000 0.0000 0.3528  4 Mg 3.38, 8 Pm 3.63-3.69
Pm 0.0000 0.0000 0.6472  4 Mg 3.38, 8 Pm 3.63-3.69
Pm 0.5000 0.5000 0.1805  8 Pm 3.63-3.69, 4 La 3.71
Pm 0.5000 0.5000 0.8195  8 Pm 3.63-3.69, 4 La 3.71
Mg 0.5000 0.5000 0.5000  8 Pm 3.38, 4 Mg 3.69

energy above the lowest structure with this stoichiometry: 0 meV/atom
total moment: 0.0 μB/cell

# 3
Computed, not measured: a geometry-optimized LaPm3Mg structure at the PBE-GGA level of DFT.

Unit cell a=6.9818 b=6.9818 c=13.0477 alpha=93.32 beta=93.32 gamma=31.53
With the nearest neighbours (Å) after each atom.
Atoms (fractional coordinates):
La 0.2322 0.2322 0.2552  2 Mg 3.44, 7 Pm 3.66-3.75, 2 La 3.79
La 0.7678 0.7678 0.7448  2 Mg 3.44, 7 Pm 3.66-3.75, 2 La 3.79
Pm 0.0383 0.0383 0.6885  2 Mg 3.38, 5 Pm 3.58-3.68, 3 La 3.66-3.75
Pm 0.1494 0.1494 0.9447  4 Mg 3.34-3.39, 3 Pm 3.54-3.58, 2 La 3.66
Pm 0.3662 0.3662 0.5260  9 Pm 3.58-3.79, 3 La 3.74-3.87
Pm 0.6338 0.6338 0.4740  9 Pm 3.58-3.79, 3 La 3.74-3.87
Pm 0.8506 0.8506 0.0553  4 Mg 3.34-3.39, 3 Pm 3.54-3.58, 2 La 3.66
Pm 0.9617 0.9617 0.3115  2 Mg 3.38, 5 Pm 3.58-3.68, 3 La 3.66-3.75
Mg 0.4473 0.4473 0.8757  6 Pm 3.34-3.39, 2 La 3.44, 1 Mg 3.46
Mg 0.5527 0.5527 0.1243  6 Pm 3.34-3.39, 2 La 3.44, 1 Mg 3.46

energy above the lowest structure with this stoichiometry: 0 meV/atom
total moment: 0.0 μB/cell

# 4
Computed, not measured: a geometry-optimized La2Pm2Mg structure at the PBE-GGA level of DFT.

Unit cell a=9.6173 b=9.6173 c=9.6173 alpha=152.83 beta=152.83 gamma=38.80
With the nearest neighbours (Å) after each atom.
Atoms (fractional coordinates):
La 0.0899 0.0899 0.0000  1 La 3.26, 4 Mg 3.59
La 0.9101 0.9101 0.0000  1 La 3.26, 4 Mg 3.59
Pm 0.2500 0.7500 0.5000  4 Pm 3.19
Pm 0.7500 0.2500 0.5000  4 Pm 3.19
Mg 0.5000 0.5000 0.0000  8 La 3.59

energy above the lowest structure with this stoichiometry: 367 meV/atom
total moment: 0.3 μB/cell

# 5
Computed, not measured: a geometry-optimized La5PmMg2 structure at the PBE-GGA level of DFT.

Unit cell a=7.1397 b=7.1397 c=7.1397 alpha=117.36 beta=94.72 gamma=117.27
With the nearest neighbours (Å) after each atom.
Atoms (fractional coordinates):
La 0.0000 0.0000 0.0000  8 La 3.55-3.59, 2 Pm 3.61-3.82, 2 Mg 3.71
La 0.0185 0.0004 0.5045  4 Mg 3.55-3.60, 2 Pm 3.55-3.59, 6 La 3.55-3.81
La 0.0185 0.5139 0.0180  4 Mg 3.55-3.60, 2 Pm 3.55-3.59, 6 La 3.55-3.81
La 0.4959 0.0004 0.9820  4 Mg 3.55-3.60, 2 Pm 3.55-3.59, 6 La 3.55-3.81
La 0.4959 0.5139 0.4955  4 Mg 3.55-3.60, 2 Pm 3.55-3.59, 6 La 3.55-3.81
Pm 0.5141 0.5141 0.0000  10 La 3.55-3.82, 2 Mg 3.71
Mg 0.5271 0.0271 0.5000  1 Mg 3.43, 8 La 3.55-3.60, 2 Pm 3.71
Mg 0.9879 0.4879 0.5000  1 Mg 3.43, 10 La 3.55-3.71

final energy: -4.0861 eV/atom
total moment: 0.0 μB/cell

# 6
Computed, not measured: a geometry-optimized LaPmMg structure at the PBE-GGA level of DFT.

Unit cell a=3.4582 b=5.5891 c=9.8522 alpha=90.00 beta=90.27 gamma=90.00
With the nearest neighbours (Å) after each atom.
Atoms (fractional coordinates):
La 0.0019 0.2500 0.0700  4 La 3.12-3.46, 1 Mg 3.41
La 0.9981 0.7500 0.9300  4 La 3.12-3.46, 1 Mg 3.41
Pm 0.4993 0.2500 0.7238  2 Pm 3.46, 6 Mg 3.48-3.57, 6 La 3.82-3.87
Pm 0.5007 0.7500 0.2762  2 Pm 3.46, 6 Mg 3.48-3.57, 6 La 3.82-3.87
Mg 0.9999 0.2500 0.4158  4 Mg 3.25-3.46, 1 La 3.41, 6 Pm 3.48-3.57
Mg 0.0001 0.7500 0.5842  4 Mg 3.25-3.46, 1 La 3.41, 6 Pm 3.48-3.57

energy above the lowest structure with this stoichiometry: 60 meV/atom
total moment: 0.0 μB/cell

# 7
Computed, not measured: a geometry-optimized LaPmMg structure at the PBE-GGA level of DFT.

Unit cell a=5.6152 b=5.6152 c=3.4465 alpha=90.00 beta=90.00 gamma=120.00
With the nearest neighbours (Å) after each atom.
Atoms (fractional coordinates):
La 0.0000 0.0000 0.0000  3 Mg 3.42, 2 La 3.45, 6 Pm 3.55-3.81
Pm 0.6667 0.3333 0.4182  3 Mg 3.37, 2 Pm 3.45, 3 La 3.55
Mg 0.3333 0.6667 0.6846  3 Pm 3.37, 3 La 3.42, 2 Mg 3.45

energy above the lowest structure with this stoichiometry: 69 meV/atom
total moment: 0.0 μB/cell

# 8
Computed, not measured: a geometry-optimized La4Pm2PrMg structure at the PBE-GGA level of DFT.

Unit cell a=5.9664 b=5.9678 c=7.8298 alpha=90.00 beta=90.00 gamma=90.00
With the nearest neighbours (Å) after each atom.
Atoms (fractional coordinates):
La 0.0000 0.0000 0.2301  2 Mg 3.48, 4 Pm 3.49-3.66, 1 La 3.60, 2 Pr 3.66
La 0.0000 0.0000 0.7699  2 Mg 3.48, 4 Pm 3.49-3.66, 1 La 3.60, 2 Pr 3.66
La 0.5000 0.5000 0.2313  4 Pm 3.49-3.65, 2 Mg 3.49, 1 La 3.62, 2 Pr 3.65
La 0.5000 0.5000 0.7687  4 Pm 3.49-3.65, 2 Mg 3.49, 1 La 3.62, 2 Pr 3.65
Pm 0.0000 0.5000 0.0000  8 La 3.49
Pm 0.5000 0.0000 0.5000  8 La 3.65-3.66, 2 Mg 3.91
Pr 0.0000 0.5000 0.5000  8 La 3.65-3.66, 2 Pm 3.91
Mg 0.5000 0.0000 0.0000  8 La 3.48-3.49

final energy: -4.3988 eV/atom
total moment: 0.0 μB/cell

# 9
Computed, not measured: a geometry-optimized LaPm4Pr2Mg structure at the PBE-GGA level of DFT.

Unit cell a=7.2411 b=7.2411 c=12.6297 alpha=106.80 beta=106.80 gamma=59.71
With the nearest neighbours (Å) after each atom.
Atoms (fractional coordinates):
La 0.2500 0.7500 0.0000  6 Pm 3.60-3.68, 2 La 3.60-3.61, 2 Mg 3.62, 2 Pr 3.62
La 0.7500 0.2500 0.0000  6 Pm 3.60-3.68, 2 La 3.60-3.61, 2 Mg 3.62, 2 Pr 3.62
Pm 0.0000 0.0000 0.2469  2 La 3.60, 6 Pm 3.61-3.63, 1 Mg 3.61, 3 Pr 3.66-3.67
Pm 0.0008 0.4994 0.7495  6 Pm 3.60-3.63, 3 Pr 3.63-3.64, 2 Mg 3.63-3.64, 1 La 3.64
Pm 0.0007 0.4996 0.2499  6 Pm 3.60-3.63, 3 Pr 3.63-3.64, 1 La 3.64, 2 Mg 3.64
Pm 0.4994 0.0008 0.7495  6 Pm 3.60-3.63, 3 Pr 3.63-3.64, 2 Mg 3.63-3.64, 1 La 3.64
Pm 0.4996 0.0007 0.2499  6 Pm 3.60-3.63, 3 Pr 3.63-3.64, 1 La 3.64, 2 Mg 3.64
Pm 0.5004 0.5004 0.7530  2 La 3.60, 6 Pm 3.61-3.63, 1 Mg 3.61, 3 Pr 3.66-3.67
Pm 0.5011 0.5011 0.2543  3 Pr 3.59-3.68, 1 Mg 3.60, 6 Pm 3.61-3.63, 2 La 3.68
Pm 0.9992 0.9992 0.7455  3 Pr 3.59-3.67, 1 Mg 3.60, 6 Pm 3.61-3.63, 2 La 3.68
Pr 0.2499 0.2499 0.9997  2 Mg 3.60, 4 La 3.62, 6 Pm 3.63-3.68
Pr 0.2500 0.2500 0.4998  2 Mg 3.60, 4 Pr 3.62, 6 Pm 3.63-3.66
Pr 0.2505 0.7496 0.5000  6 Pm 3.59-3.67, 4 Pr 3.60-3.62, 2 Mg 3.62
Pr 0.7496 0.2505 0.5000  6 Pm 3.59-3.67, 4 Pr 3.60-3.62, 2 Mg 3.62
Mg 0.7500 0.7500 0.9998  2 Pr 3.60, 6 Pm 3.61-3.64, 4 La 3.62
Mg 0.7500 0.7500 0.4998  6 Pm 3.60-3.64, 6 Pr 3.60-3.62

final energy: -4.3814 eV/atom
total moment: 0.0 μB/cell

# 10
Computed, not measured: a geometry-optimized La6PmPr2Mg structure at the PBE-GGA level of DFT.

Unit cell a=8.7833 b=8.7833 c=9.6121 alpha=95.64 beta=95.64 gamma=104.62
With the nearest neighbours (Å) after each atom.
Atoms (fractional coordinates):
La 0.0420 0.4659 0.6738  1 Pm 3.28, 1 Mg 3.34, 3 La 3.49-3.60, 2 Pr 3.60-3.64
La 0.0660 0.8237 0.9017  3 La 3.32-3.60, 2 Mg 3.32-3.46, 2 Pr 3.65-3.67
La 0.1763 0.9340 0.5983  3 La 3.32-3.60, 2 Mg 3.32-3.46, 2 Pr 3.65-3.67
La 0.2388 0.5800 0.0809  3 La 3.42-3.56, 1 Pr 3.50, 1 Mg 3.67, 2 Pm 3.74-3.79
La 0.4200 0.7612 0.4191  3 La 3.42-3.56, 1 Pr 3.50, 1 Mg 3.67, 2 Pm 3.74-3.79
La 0.4659 0.0420 0.1738  1 Pm 3.28, 1 Mg 3.34, 3 La 3.49-3.60, 2 Pr 3.60-3.64
La 0.5341 0.9580 0.8262  1 Pm 3.28, 1 Mg 3.34, 3 La 3.49-3.60, 2 Pr 3.60-3.64
La 0.5800 0.2388 0.5809  3 La 3.42-3.56, 1 Pr 3.50, 1 Mg 3.67, 2 Pm 3.74-3.79
La 0.7612 0.4200 0.9191  3 La 3.42-3.56, 1 Pr 3.50, 1 Mg 3.67, 2 Pm 3.74-3.79
La 0.8237 0.0660 0.4017  3 La 3.32-3.60, 2 Mg 3.32-3.46, 2 Pr 3.65-3.67
La 0.9340 0.1763 0.0983  3 La 3.32-3.60, 2 Mg 3.32-3.46, 2 Pr 3.65-3.67
La 0.9580 0.5341 0.3262  1 Pm 3.28, 1 Mg 3.34, 3 La 3.49-3.60, 2 Pr 3.60-3.64
Pm 0.4292 0.5708 0.7500  2 La 3.28, 2 Pr 3.43
Pm 0.5708 0.4292 0.2500  2 La 3.28, 2 Pr 3.43
Pr 0.2349 0.2989 0.4068  2 Pm 3.43-3.85, 6 La 3.50-3.80, 1 Mg 3.51
Pr 0.2989 0.2349 0.9068  2 Pm 3.43-3.85, 6 La 3.50-3.80, 1 Mg 3.51
Pr 0.7011 0.7651 0.0932  2 Pm 3.43-3.85, 6 La 3.50-3.80, 1 Mg 3.51
Pr 0.7651 0.7011 0.5932  2 Pm 3.43-3.85, 6 La 3.50-3.80, 1 Mg 3.51
Mg 0.0975 0.9025 0.2500  8 La 3.32-3.67, 2 Pr 3.51
Mg 0.9025 0.0975 0.7500  8 La 3.32-3.67, 2 Pr 3.51

final energy: -4.4678 eV/atom
total moment: 0.0 μB/cell